Entry from the Alexandria database: a relaxed K3BBr6 crystal (PBE-GGA).

Unit cell a=8.420 b=10.518 c=10.518 alpha=99.96 beta=90.00 gamma=90.00
Fractional coordinates of all 20 atoms:
1 K 0.906 0.122 0.344
2 Br 0.611 0.306 0.363
3 Br 0.687 0.858 0.387
4 K 0.339 0.441 0.559
5 B 0.618 0.802 0.198
6 Br 0.611 0.637 0.694
7 Br 0.187 0.142 0.613
8 Br 0.111 0.363 0.306
9 Br 0.383 0.819 0.181
10 K 0.906 0.656 0.878
11 Br 0.187 0.387 0.858
12 B 0.118 0.198 0.802
13 Br 0.687 0.613 0.142
14 Br 0.883 0.181 0.819
15 K 0.406 0.344 0.122
16 K 0.839 0.559 0.441
17 Br 0.111 0.694 0.637
18 K 0.406 0.878 0.656
19 Br 0.737 0.913 0.087
20 Br 0.237 0.087 0.913

The total moment comes out at 0.00 μB/cell. The space-group type is Cmc2_1. The value obtained for the density of states at the Fermi level is 0.00 states/eV/cell. The formation energy without anion corrections comes out at -1.202 eV per atom.